(1)
First-principles (PBE) data for NaTeH2 after structural relaxation, as listed in Alexandria via LeMat-Bulk.

Properties
Fermi-level density of states (states/eV per cell): 0.6
M_tot (Bohr magnetons per cell): 0.0
Space-group type: P-1 (2)
V (Å³ per cell): 67.2
Distance to the lowest polymorph of the same formula (meV/atom): 419

Geometry as extended XYZ:
```
4
Lattice="-0.762 -3.298 0.004 1.755 -4.333 -6.396 2.470 1.711 2.578" Properties=species:S:1:pos:R:3 pbc="T T T"
Te 1.102 -2.701 -0.307
H 1.052 -6.869 -5.857
H 2.907 -2.866 -1.153
Na 2.361 -3.218 -3.507
```



(2)
First-principles (PBE) data for Na2TeH6 after structural relaxation, as listed in Alexandria via LeMat-Bulk.

Properties
M_tot (Bohr magnetons per cell): 0.0
Space-group type: Fm-3m (225)
V (Å³ per cell): 128.4
Distance to the lowest polymorph of the same formula (meV/atom): 610

Geometry as extended XYZ:
```
9
Lattice="4.904 0.000 2.832 1.635 4.624 2.832 0.000 0.000 5.663" Properties=species:S:1:pos:R:3 pbc="T T T"
H 4.097 1.141 7.097
H 2.442 3.483 4.229
H 1.614 1.141 5.663
H 2.442 3.483 7.097
H 4.097 1.141 4.229
H 4.925 3.483 5.663
Te 0.000 0.000 0.000
Na 1.635 1.156 2.832
Na 4.904 3.468 8.495
```



(3)
First-principles (PBE) data for NaTeH after structural relaxation, as listed in Alexandria via LeMat-Bulk.

Properties
Fermi-level density of states (states/eV per cell): 1.1
M_tot (Bohr magnetons per cell): 0.0
Space-group type: C2/m (12)
V (Å³ per cell): 126.7
Energy (eV/atom): -2.629

Geometry as extended XYZ:
```
6
Lattice="2.999 0.000 0.000 -1.499 6.035 -0.299 0.000 -2.796 7.138" Properties=species:S:1:pos:R:3 pbc="T T T"
Te 1.499 0.035 1.697
Te 0.000 3.205 5.143
H 0.000 0.221 6.936
H 1.499 3.019 -0.096
Na 1.499 0.330 4.857
Na 0.000 2.909 1.983
```



(4)
First-principles (PBE) data for NaTeH after structural relaxation, as listed in Alexandria via LeMat-Bulk.

Properties
Fermi-level density of states (states/eV per cell): 0.0
M_tot (Bohr magnetons per cell): 0.0
Space-group type: C2 (5)
V (Å³ per cell): 144.9
Energy (eV/atom): -2.987

Geometry as extended XYZ:
```
6
Lattice="4.732 0.002 0.003 2.364 4.558 0.344 2.362 1.442 6.829" Properties=species:S:1:pos:R:3 pbc="T T T"
H 2.395 0.748 0.063
H 7.122 3.007 6.334
Na 4.147 4.875 6.786
Na 3.988 1.879 3.202
Te 6.382 3.475 4.870
Te 4.017 4.839 1.871
```



(5)
First-principles (PBE) data for Na2TiTeH after structural relaxation, as listed in Alexandria via LeMat-Bulk.

Properties
Fermi-level density of states (states/eV per cell): 1.9
M_tot (Bohr magnetons per cell): 3.0
Space-group type: P4/mmm (123)
V (Å³ per cell): 185.4
Energy (eV/atom): -3.001

Geometry as extended XYZ:
```
5
Lattice="-2.660 -4.768 2.265 2.875 0.502 4.431 -4.196 3.449 2.332" Properties=species:S:1:pos:R:3 pbc="T T T"
Na -2.098 1.724 1.166
Na -1.330 -2.384 1.133
Ti 1.438 0.251 2.216
H -1.990 -0.409 4.514
Te 0.000 0.000 0.000
```



(6)
First-principles (PBE) data for NaTl2TeH after structural relaxation, as listed in Alexandria via LeMat-Bulk.

Properties
Fermi-level density of states (states/eV per cell): 0.4
M_tot (Bohr magnetons per cell): 0.0
Space-group type: P4/mmm (123)
V (Å³ per cell): 129.6
Energy (eV/atom): -2.713

Geometry as extended XYZ:
```
5
Lattice="5.106 0.000 0.000 0.000 5.106 0.000 0.000 0.000 4.968" Properties=species:S:1:pos:R:3 pbc="T T T"
Tl 0.000 2.553 0.000
Tl 2.553 0.000 0.000
Na 0.000 0.000 2.484
H 0.000 0.000 0.000
Te 2.553 2.553 2.484
```